Density functional theory data (PBE-GGA) for Pm8Co3CCl4 after structural relaxation.

Output
N(E_F): 8.4 states/eV/f.u.
formation energy (no corrections): -844 meV/atom
symmetry: R-3m, No. 166

a b c (Å): 7.8176 8.6642 7.8175
angles (deg): 116.83 120.00 90.00
Element x y z (fractional)
Pm 0.2250 0.6921 0.9674
Pm 0.2250 0.6921 0.4499
Pm 0.2644 0.2933 0.5287
Pm 0.7424 0.6921 0.9674
Pm 0.2576 0.3079 0.0326
Pm 0.7356 0.7067 0.4713
Pm 0.7750 0.3079 0.5501
Pm 0.7750 0.3079 0.0326
Co 0.5000 0.5000 0.0000
Co 0.5000 0.5000 0.5000
Co 0.0000 0.5000 0.5000
C 0.0000 0.5000 0.0000
Cl 0.5000 0.0000 0.0000
Cl 0.5000 0.0000 0.5000
Cl 0.0000 0.0000 0.0000
Cl 0.0000 0.0000 0.5000